No. 1
The following is a DFT calculation (GGA-PBE) of an optimized crystal structure of Ta3GaPd.

abc: 4.6842 4.6842 4.6842
angles: 90.00 90.00 90.00
Closest atoms and distances in Å follow each position.
Element x y z (fractional)
Ta 0.0000 0.0000 0.5000  2 Ga 2.34
Ta 0.0000 0.5000 0.0000  2 Ga 2.34
Ta 0.5000 0.0000 0.0000  2 Ga 2.34
Ga 0.0000 0.0000 0.0000  6 Ta 2.34
Pd 0.5000 0.5000 0.5000  12 Ta 3.31

Results
DFT formation energy = 1220 meV/atom
Symmetry = No. 221
Calculated total energy = -7.5354 eV per atom
E above lowest polymorph = 0 meV/atom

No. 2
The following is a DFT calculation (GGA-PBE) of an optimized crystal structure of Ta3Ga2Pd8.

abc: 9.8606 9.8606 9.8606
angles: 30.56 30.56 30.56
Closest atoms and distances in Å follow each position.
Element x y z (fractional)
Ta 0.0000 0.0000 0.0000  6 Ga 3.14, 12 Pd 3.33-3.34
Ta 0.1883 0.1883 0.1883  10 Pd 2.61-2.83
Ta 0.8117 0.8117 0.8117  10 Pd 2.61-2.83
Ga 0.3662 0.3662 0.3662  4 Pd 2.40-2.55
Ga 0.6338 0.6338 0.6338  4 Pd 2.40-2.55
Pd 0.2251 0.7290 0.7290  1 Ga 2.55, 4 Pd 2.58-2.62, 3 Ta 2.76-2.83
Pd 0.2710 0.2710 0.7749  1 Ga 2.55, 4 Pd 2.58-2.62, 3 Ta 2.76-2.83
Pd 0.2710 0.7749 0.2710  1 Ga 2.55, 4 Pd 2.58-2.62, 3 Ta 2.76-2.83
Pd 0.2810 0.2810 0.2810  1 Ga 2.40, 1 Ta 2.61
Pd 0.7190 0.7190 0.7190  1 Ga 2.40, 1 Ta 2.61
Pd 0.7290 0.2251 0.7290  1 Ga 2.55, 4 Pd 2.58-2.62, 3 Ta 2.76-2.83
Pd 0.7290 0.7290 0.2251  1 Ga 2.55, 4 Pd 2.58-2.62, 3 Ta 2.76-2.83
Pd 0.7749 0.2710 0.2710  1 Ga 2.55, 4 Pd 2.58-2.62, 3 Ta 2.76-2.83

Results
DFT formation energy = -85 meV/atom
Symmetry = No. 166
Calculated total energy = -6.4818 eV per atom

No. 3
The following is a DFT calculation (GGA-PBE) of an optimized crystal structure of TaGaPd2.

abc: 2.9308 2.9308 8.8085
angles: 99.73 99.73 59.76
Closest atoms and distances in Å follow each position.
Element x y z (fractional)
Ta 0.0000 0.0000 0.0000  6 Pd 2.84, 6 Ta 2.92-2.93
Ga 0.8332 0.8332 0.4999  6 Pd 2.64-2.65, 6 Ga 2.92-2.93
Pd 0.4219 0.4219 0.2645  3 Ga 2.64-2.65, 3 Ta 2.84, 6 Pd 2.92-2.93
Pd 0.5787 0.5787 0.7356  3 Ga 2.64-2.65, 3 Ta 2.84, 6 Pd 2.92-2.93

Results
DFT formation energy = -362 meV/atom
Symmetry = No. 8
Calculated total energy = -6.6786 eV per atom